# KGa3Pt GGA-PBE optimized geometry
data_KGa3Pt
_chemical_formula_sum 'K1 Ga3 Pt1'
_space_group_name_H-M_alt 'P m -3 m'
_space_group_IT_number 221
_space_group_name_Hall '-P 4 2 3'
_cell_length_a 4.986
_cell_length_b 4.986
_cell_length_c 4.986
_cell_angle_alpha 90.00
_cell_angle_beta 90.00
_cell_angle_gamma 90.00
loop_
_atom_site_label
_atom_site_type_symbol
_atom_site_fract_x
_atom_site_fract_y
_atom_site_fract_z
K1 K 0.000 0.000 0.000
Ga1 Ga 0.000 0.500 0.500
Pt1 Pt 0.500 0.500 0.500
# - relative energy among the computed polymorphs (eV/atom) = 0.1569
# - formation enthalpy at 0 K (meV per atom) = -203
# - total moment (μB/cell) = 0.0

=====

# KGa12Pt4 GGA-PBE optimized geometry
data_KGa12Pt4
_chemical_formula_sum 'K2 Ga24 Pt8'
_space_group_name_H-M_alt 'I m -3'
_space_group_IT_number 204
_space_group_name_Hall '-I 2 2 3'
_cell_length_a 8.955
_cell_length_b 8.955
_cell_length_c 8.955
_cell_angle_alpha 90.00
_cell_angle_beta 90.00
_cell_angle_gamma 90.00
loop_
_atom_site_label
_atom_site_type_symbol
_atom_site_fract_x
_atom_site_fract_y
_atom_site_fract_z
K1 K 0.000 0.000 0.000
Ga1 Ga 0.000 0.162 0.349
Pt1 Pt 0.250 0.250 0.250
# - formation enthalpy at 0 K (meV per atom) = -282
# - total moment (μB/cell) = 0.0

=====

# KGa3Pt GGA-PBE optimized geometry
data_KGa3Pt
_chemical_formula_sum 'K4 Ga12 Pt4'
_space_group_name_H-M_alt 'P n m a'
_space_group_IT_number 62
_space_group_name_Hall '-P 2ac 2n'
_cell_length_a 8.464
_cell_length_b 4.431
_cell_length_c 11.616
_cell_angle_alpha 90.00
_cell_angle_beta 90.00
_cell_angle_gamma 90.00
loop_
_atom_site_label
_atom_site_type_symbol
_atom_site_fract_x
_atom_site_fract_y
_atom_site_fract_z
K1 K 0.166 0.250 0.015
Ga1 Ga 0.058 0.250 0.580
Ga2 Ga 0.122 0.750 0.776
Ga3 Ga 0.176 0.750 0.240
Pt1 Pt 0.103 0.250 0.357
# - relative energy among the computed polymorphs (eV/atom) = 0.0000
# - formation enthalpy at 0 K (meV per atom) = -360
# - total moment (μB/cell) = 0.0

=====

# K3GaPt GGA-PBE optimized geometry
data_K3GaPt
_chemical_formula_sum 'K3 Ga1 Pt1'
_space_group_name_H-M_alt 'P m -3 m'
_space_group_IT_number 221
_space_group_name_Hall '-P 4 2 3'
_cell_length_a 6.156
_cell_length_b 6.156
_cell_length_c 6.156
_cell_angle_alpha 90.00
_cell_angle_beta 90.00
_cell_angle_gamma 90.00
loop_
_atom_site_label
_atom_site_type_symbol
_atom_site_fract_x
_atom_site_fract_y
_atom_site_fract_z
K1 K 0.000 0.000 0.500
Ga1 Ga 0.500 0.500 0.500
Pt1 Pt 0.000 0.000 0.000
# - relative energy among the computed polymorphs (eV/atom) = 0.0000
# - formation enthalpy at 0 K (meV per atom) = 291
# - total moment (μB/cell) = 2.0

=====

# K2Ga4Pt5 GGA-PBE optimized geometry
data_K2Ga4Pt5
_chemical_formula_sum 'K8 Ga16 Pt20'
_space_group_name_H-M_alt 'F m m m'
_space_group_IT_number 69
_space_group_name_Hall '-F 2 2'
_cell_length_a 5.782
_cell_length_b 10.251
_cell_length_c 15.145
_cell_angle_alpha 90.00
_cell_angle_beta 90.00
_cell_angle_gamma 90.00
loop_
_atom_site_label
_atom_site_type_symbol
_atom_site_fract_x
_atom_site_fract_y
_atom_site_fract_z
K1 K 0.000 0.000 0.127
Ga1 Ga 0.000 0.161 0.372
Pt1 Pt 0.000 0.000 0.500
Pt2 Pt 0.250 0.250 0.000
Pt3 Pt 0.250 0.250 0.250
# - formation enthalpy at 0 K (meV per atom) = -551
# - total moment (μB/cell) = 0.0

=====

# K2GaPt3 GGA-PBE optimized geometry
data_K2GaPt3
_chemical_formula_sum 'K6 Ga3 Pt9'
_space_group_name_H-M_alt 'R -3 m'
_space_group_IT_number 166
_space_group_name_Hall '-R 3 2"'
_cell_length_a 5.6983
_cell_length_b 5.6983
_cell_length_c 12.9481
_cell_angle_alpha 90.00
_cell_angle_beta 90.00
_cell_angle_gamma 120.00
loop_
_atom_site_label
_atom_site_type_symbol
_atom_site_fract_x
_atom_site_fract_y
_atom_site_fract_z
K1 K 0.0000 0.0000 0.1212
Ga1 Ga 0.0000 0.0000 0.5000
Pt1 Pt 0.0000 0.5000 0.0000
# - formation enthalpy at 0 K (meV per atom) = -296
# - total moment (μB/cell) = 0.0

=====

# KGa2Pt GGA-PBE optimized geometry
data_KGa2Pt
_chemical_formula_sum 'K4 Ga8 Pt4'
_space_group_name_H-M_alt 'I 41/a m d'
_space_group_IT_number 141
_cell_length_a 5.867
_cell_length_b 5.867
_cell_length_c 15.081
_cell_angle_alpha 90.00
_cell_angle_beta 90.00
_cell_angle_gamma 90.00
loop_
_space_group_symop_operation_xyz
'x,y,z'
'-x,-y,-z'
'-y+1/4,x+3/4,z+1/4'
'y+1/4,-x+3/4,-z+1/4'
'-x+1/2,-y,z+1/2'
'x+1/2,y,-z+1/2'
'y+1/4,-x+1/4,z+3/4'
'-y+1/4,x+1/4,-z+3/4'
'x,-y,-z'
'-x,y,z'
'-y+1/4,-x+1/4,-z+3/4'
'y+1/4,x+1/4,z+3/4'
'-x+1/2,y,-z+1/2'
'x+1/2,-y,z+1/2'
'y+1/4,x+3/4,-z+1/4'
'-y+1/4,-x+3/4,z+1/4'
'x+1/2,y+1/2,z+1/2'
'-x+1/2,-y+1/2,-z+1/2'
'-y+3/4,x+1/4,z+3/4'
'y+3/4,-x+1/4,-z+3/4'
'-x,-y+1/2,z'
'x,y+1/2,-z'
'y+3/4,-x+3/4,z+1/4'
'-y+3/4,x+3/4,-z+1/4'
'x+1/2,-y+1/2,-z+1/2'
'-x+1/2,y+1/2,z+1/2'
'-y+3/4,-x+3/4,-z+1/4'
'y+3/4,x+3/4,z+1/4'
'-x,y+1/2,-z'
'x,-y+1/2,z'
'y+3/4,x+1/4,-z+3/4'
'-y+3/4,-x+1/4,z+3/4'
loop_
_atom_site_label
_atom_site_type_symbol
_atom_site_fract_x
_atom_site_fract_y
_atom_site_fract_z
K1 K 0.000 0.250 0.375
Ga1 Ga 0.000 0.000 0.000
Pt1 Pt 0.000 0.250 0.875
# - formation enthalpy at 0 K (meV per atom) = -305
# - total moment (μB/cell) = 0.0

=====

# KGa3Pt3 GGA-PBE optimized geometry
data_KGa3Pt3
_chemical_formula_sum 'K6 Ga18 Pt18'
_space_group_name_H-M_alt 'R -3'
_space_group_IT_number 148
_space_group_name_Hall '-R 3'
_cell_length_a 6.9832
_cell_length_b 6.9832
_cell_length_c 24.5079
_cell_angle_alpha 90.00
_cell_angle_beta 90.00
_cell_angle_gamma 120.00
loop_
_atom_site_label
_atom_site_type_symbol
_atom_site_fract_x
_atom_site_fract_y
_atom_site_fract_z
K1 K 0.0000 0.0000 0.1681
Ga1 Ga 0.0160 0.5952 0.0547
Pt1 Pt 0.0068 0.7610 0.9531
# - relative energy among the computed polymorphs (eV/atom) = 0.0000
# - formation enthalpy at 0 K (meV per atom) = -440
# - total moment (μB/cell) = 0.0